[1]
! Ca2MgPaSb4, optimized geometry, DFT PBE; values from VASP
&SYSTEM
  ibrav = 0, nat = 8, ntyp = 4
/
ATOMIC_SPECIES
Pa 231.04 Pa.upf
Sb 121.76 Sb.upf
Mg 24.30 Mg.upf
Ca 40.08 Ca.upf
ATOMIC_POSITIONS angstrom
Pa 0.000 0.000 0.000
Sb 2.313 1.054 1.685
Sb 0.000 4.762 1.482
Sb 2.313 3.394 5.404
Sb 0.000 -0.314 5.607
Mg 2.313 3.670 -0.099
Ca 0.000 2.224 3.545
Ca 2.313 -1.446 3.644
CELL_PARAMETERS angstrom
4.627 0.000 0.000
0.000 7.341 -0.198
0.000 -2.893 7.287
! - Spin magnetization: 0.000 μB/f.u.
! - Energy relative to the elements, uncorrected: -0.61 eV/atom

***

[2]
! Ca2Mg5Pb4, optimized geometry, DFT PBE; values from VASP
&SYSTEM
  ibrav = 0, nat = 11, ntyp = 3
/
ATOMIC_SPECIES
Mg 24.30 Mg.upf
Ca 40.08 Ca.upf
Pb 207.20 Pb.upf
ATOMIC_POSITIONS angstrom
Mg 7.898 2.664 4.890
Mg 3.159 0.000 0.000
Mg 4.739 2.664 4.890
Mg 4.739 2.664 0.000
Mg 1.580 2.664 0.000
Ca 3.159 0.000 7.702
Ca 6.318 0.000 2.077
Pb 3.159 1.655 2.555
Pb 9.477 3.672 7.224
Pb 6.318 3.672 2.555
Pb 6.318 1.655 7.224
CELL_PARAMETERS angstrom
6.318 0.000 0.000
3.159 5.328 0.000
3.159 0.000 9.779
! - Spin magnetization: 0.000 μB/f.u.
! - DFT formation energy: -1.08 eV per formula unit

***

[3]
! Ca3Mg2Pb4, optimized geometry, DFT PBE; values from VASP
&SYSTEM
  ibrav = 0, nat = 9, ntyp = 3
/
ATOMIC_SPECIES
Ca 40.08 Ca.upf
Mg 24.30 Mg.upf
Pb 207.20 Pb.upf
ATOMIC_POSITIONS angstrom
Ca 3.615 -0.783 3.087
Ca 5.554 3.789 -0.699
Ca 0.000 0.000 0.000
Mg 5.798 0.565 0.738
Mg 3.371 2.440 1.650
Pb 3.202 0.835 -0.802
Pb 8.294 1.473 -0.484
Pb 5.967 2.171 3.189
Pb 0.875 1.532 2.872
CELL_PARAMETERS angstrom
-0.665 4.363 1.886
2.033 -4.351 4.674
7.801 2.993 -4.173
! - Energy above the most stable polymorph in this dataset: 0 meV per atom
! - Spin magnetization: 0.000 μB/f.u.
! - DFT formation energy: -3.36 eV per formula unit

***

[4]
! CaMgPb3, optimized geometry, DFT PBE; values from VASP
&SYSTEM
  ibrav = 0, nat = 5, ntyp = 3
/
ATOMIC_SPECIES
Ca 40.08 Ca.upf
Mg 24.30 Mg.upf
Pb 207.20 Pb.upf
ATOMIC_POSITIONS angstrom
Ca 0.000 0.000 0.000
Mg 2.941 2.941 2.941
Pb 2.941 0.000 0.000
Pb 0.000 2.941 0.000
Pb 0.000 0.000 2.941
CELL_PARAMETERS angstrom
5.882 0.000 0.000
0.000 5.882 0.000
0.000 0.000 5.882
! - Energy above the most stable polymorph in this dataset: 708 meV per atom
! - Spin magnetization: 0.000 μB/f.u.
! - DFT formation energy: 2.78 eV per formula unit

***

[5]
! Ca3Mg2Pb4, optimized geometry, DFT PBE; values from VASP
&SYSTEM
  ibrav = 0, nat = 9, ntyp = 3
/
ATOMIC_SPECIES
Mg 24.30 Mg.upf
Ca 40.08 Ca.upf
Pb 207.20 Pb.upf
ATOMIC_POSITIONS angstrom
Mg 0.142 0.947 3.254
Mg -6.572 -1.889 3.297
Ca -4.140 -0.476 1.158
Ca -2.290 -0.467 5.393
Ca 0.000 0.000 0.000
Pb -2.392 2.322 0.771
Pb -4.038 -3.265 5.780
Pb -1.485 -1.826 2.390
Pb -4.945 0.883 4.161
CELL_PARAMETERS angstrom
-0.517 4.592 1.846
-7.353 0.345 -1.077
1.440 -5.880 5.782
! - Energy above the most stable polymorph in this dataset: 58 meV per atom
! - Spin magnetization: 0.000 μB/f.u.
! - DFT formation energy: -2.85 eV per formula unit

***

[6]
! CaMgPb3, optimized geometry, DFT PBE; values from VASP
&SYSTEM
  ibrav = 0, nat = 5, ntyp = 3
/
ATOMIC_SPECIES
Ca 40.08 Ca.upf
Pb 207.20 Pb.upf
Mg 24.30 Mg.upf
ATOMIC_POSITIONS angstrom
Ca 2.767 2.767 2.767
Pb 0.000 2.767 0.000
Pb 0.000 0.000 2.767
Pb 2.767 0.000 0.000
Mg 0.000 0.000 0.000
CELL_PARAMETERS angstrom
5.535 0.000 0.000
0.000 5.535 0.000
0.000 0.000 5.535
! - Energy above the most stable polymorph in this dataset: 234 meV per atom
! - Spin magnetization: 0.000 μB/f.u.
! - DFT formation energy: 0.41 eV per formula unit

***

[7]
! CaMg3Pb4, optimized geometry, DFT PBE; values from VASP
&SYSTEM
  ibrav = 0, nat = 16, ntyp = 3
/
ATOMIC_SPECIES
Pb 207.20 Pb.upf
Ca 40.08 Ca.upf
Mg 24.30 Mg.upf
ATOMIC_POSITIONS angstrom
Pb -7.990 -0.878 0.152
Pb -6.980 2.220 6.631
Pb -7.484 0.672 3.391
Pb -5.152 3.235 1.802
Pb -2.922 -0.688 -1.251
Pb -4.646 4.785 5.041
Pb -5.254 -3.250 0.338
Pb -5.656 1.687 -1.438
Ca -2.224 -2.443 1.515
Ca -4.454 1.479 4.568
Mg -2.230 3.923 3.053
Mg -5.490 6.429 2.312
Mg 0.000 0.000 0.000
Mg -2.700 2.364 -0.149
Mg -5.001 -0.059 1.284
Mg -7.635 3.966 3.909
CELL_PARAMETERS angstrom
-3.729 0.949 -3.943
-4.447 -4.887 3.030
-4.460 7.845 6.106
! - Spin magnetization: 0.000 μB/f.u.
! - DFT formation energy: -1.33 eV per formula unit

***

[8]
! CaMg4Pb7, optimized geometry, DFT PBE; values from VASP
&SYSTEM
  ibrav = 0, nat = 12, ntyp = 3
/
ATOMIC_SPECIES
Pb 207.20 Pb.upf
Mg 24.30 Mg.upf
Ca 40.08 Ca.upf
ATOMIC_POSITIONS angstrom
Pb -0.175 2.110 -1.994
Pb -3.144 0.292 -12.142
Pb -0.763 -1.997 -6.288
Pb -3.091 0.775 -3.151
Pb -1.667 1.375 -6.883
Pb -5.472 3.063 -9.005
Pb -4.569 -0.308 -8.410
Mg -0.259 0.063 -4.153
Mg -1.777 -0.929 -9.311
Mg -4.459 1.995 -5.982
Mg -5.977 1.004 -11.141
Ca 0.000 0.000 0.000
CELL_PARAMETERS angstrom
-0.349 4.220 -3.988
1.083 -3.897 -8.460
-6.969 0.744 -2.845
! - Spin magnetization: 0.000 μB/f.u.
! - DFT formation energy: -0.22 eV per formula unit

***

Question: What is the spin magnetization in the second record?
Answer: 0.000 μB/f.u.